Ac3La3Au2: relaxed, PBE.

Cell lengths 9.750, 16.819, 6.928 Å; angles 90.00, 90.00, 90.00 degrees
Fractional coordinates of all 32 atoms:
Ac1 0.022 0.115 0.085
Ac2 0.022 0.385 0.085
Ac3 0.175 0.250 0.629
Ac4 0.325 0.750 0.129
Ac5 0.478 0.615 0.585
Ac6 0.478 0.885 0.585
Ac7 0.522 0.115 0.415
Ac8 0.522 0.385 0.415
Ac9 0.675 0.250 0.871
Ac10 0.825 0.750 0.371
Ac11 0.978 0.615 0.915
Ac12 0.978 0.885 0.915
La1 0.178 0.025 0.597
La2 0.178 0.475 0.597
La3 0.181 0.750 0.620
La4 0.319 0.250 0.120
La5 0.322 0.525 0.097
La6 0.322 0.975 0.097
La7 0.678 0.025 0.903
La8 0.678 0.475 0.903
La9 0.681 0.750 0.880
La10 0.819 0.250 0.380
La11 0.822 0.525 0.403
La12 0.822 0.975 0.403
Au1 0.098 0.617 0.349
Au2 0.098 0.883 0.349
Au3 0.402 0.117 0.849
Au4 0.402 0.383 0.849
Au5 0.598 0.617 0.151
Au6 0.598 0.883 0.151
Au7 0.902 0.117 0.651
Au8 0.902 0.383 0.651

Values from the calculation:
For the energy of formation, the calculation gives -3.08 eV per formula unit. The density of states at the Fermi level is 9.38 states/eV/f.u. Its space-group type is No. 62.